Entry 1:
This record from the Alexandria database describes a relaxed structure of EuPuHgRh. The functional is PBE-GGA.

Values from the calculation:
As for the density of states at the Fermi level: 63.80 states/eV/cell. For the spin magnetization, the calculation gives 12.79 μB per formula unit. For the calculated density, the calculation gives 11936 kg/m³. The energy of formation from the pure elements comes out at -240 meV per atom.

abc: 7.3015 7.3015 7.3015
angles: 90.00 90.00 90.00
Space group F-43m (No. 216)
Unique sites:
Eu 0.0000 0.0000 0.0000 [4 per cell]
Pu 0.0000 0.0000 0.5000 [4 per cell]
Hg 0.2500 0.2500 0.2500 [4 per cell]
Rh 0.2500 0.2500 0.7500 [4 per cell]

***

Entry 2:
This record from the Alexandria database describes a relaxed structure of FeNi12Rh5. The functional is PBE-GGA.

Values from the calculation:
As for the density of states at the Fermi level: 48.02 states/eV/cell. For the spin magnetization, the calculation gives 14.63 μB per formula unit. For the calculated density, the calculation gives 9754 kg/m³. The energy of formation from the pure elements comes out at 19 meV per atom.

abc: 10.7908 10.9693 3.6666
angles: 90.00 90.00 90.00
Space group Cmmm (No. 65)
Unique sites:
Fe 0.0000 0.0000 0.0000 [2 per cell]
Ni 0.1705 0.1641 0.0000 [8 per cell]
Ni 0.1696 0.5000 0.0000 [4 per cell]
Ni 0.1706 0.3319 0.5000 [8 per cell]
Ni 0.1721 0.0000 0.5000 [4 per cell]
Rh 0.0000 0.1587 0.5000 [4 per cell]
Rh 0.0000 0.3307 0.0000 [4 per cell]
Rh 0.0000 0.5000 0.5000 [2 per cell]

***

Entry 3:
This record from the Alexandria database describes a relaxed structure of Sm6Te3PIr2. The functional is PBE-GGA.

Values from the calculation:
As for the uncorrected formation energy: -1184 meV/atom. As for the density of states at the Fermi level: 16.39 states/eV/cell. For the spin magnetization, the calculation gives 0.00 μB per formula unit. For the calculated density, the calculation gives 8307 kg/m³.

abc: 7.3271 12.7009 7.7113
angles: 90.00 108.69 90.00
Space group C2/m (No. 12)
Unique sites:
Sm 0.2333 0.0000 0.2103 [4 per cell]
Sm 0.2381 0.3310 0.2106 [8 per cell]
Te 0.0000 0.0000 0.5000 [2 per cell]
Te 0.0000 0.3353 0.5000 [4 per cell]
P 0.0000 0.5000 0.0000 [2 per cell]
Ir 0.0000 0.1668 0.0000 [4 per cell]